Entry 1:
Compound: Ba2HfAu2S6
Source: Alexandria via LeMat-Bulk
Functional: PBE
Structure: optimized geometry

The structure in CIF format:
```
data_Ba2HfAu2S6
_symmetry_space_group_name_H-M 'C 1 2/m 1'
_symmetry_Int_Tables_number 12
_cell_length_a 13.2701
_cell_length_b 6.5496
_cell_length_c 7.9030
_cell_angle_alpha 90.00
_cell_angle_beta 122.45
_cell_angle_gamma 90.00
loop_
_symmetry_equiv_pos_as_xyz
'x,y,z'
'-x,-y,-z'
'-x,y,-z'
'x,-y,z'
'x+1/2,y+1/2,z'
'-x+1/2,-y+1/2,-z'
'-x+1/2,y+1/2,-z'
'x+1/2,-y+1/2,z'
loop_
_atom_site_label
_atom_site_type_symbol
_atom_site_fract_x
_atom_site_fract_y
_atom_site_fract_z
Ba1 Ba 0.2242 0.0000 0.2104
Hf1 Hf 0.0000 0.0000 0.5000
Au1 Au 0.0788 0.5000 0.2605
S1 S 0.0648 0.2457 0.7929
S2 S 0.2162 0.0000 0.6094
```

Computed properties:
VASP energy (eV/cell): -114.1
DOS(E_F) (states/eV per cell): 8.87
E_form (uncorrected) (eV per atom): -1.09

=====

Entry 2:
Compound: Ba2HfAuSe5
Source: Alexandria via LeMat-Bulk
Functional: PBE
Structure: optimized geometry

The structure in CIF format:
```
data_Ba2HfAuSe5
_symmetry_space_group_name_H-M 'C m c 21'
_symmetry_Int_Tables_number 36
_cell_length_a 4.0653
_cell_length_b 19.9931
_cell_length_c 12.9939
_cell_angle_alpha 90.00
_cell_angle_beta 90.00
_cell_angle_gamma 90.00
loop_
_symmetry_equiv_pos_as_xyz
'x,y,z'
'-x,-y,z+1/2'
'-x,y,z'
'x,-y,z+1/2'
'x+1/2,y+1/2,z'
'-x+1/2,-y+1/2,z+1/2'
'-x+1/2,y+1/2,z'
'x+1/2,-y+1/2,z+1/2'
loop_
_atom_site_label
_atom_site_type_symbol
_atom_site_fract_x
_atom_site_fract_y
_atom_site_fract_z
Ba1 Ba 0.0000 0.1221 0.0000
Ba2 Ba 0.0000 0.1239 0.3966
Hf1 Hf 0.0000 0.2200 0.6974
Au1 Au 0.0000 0.4543 0.1183
Se1 Se 0.0000 0.0818 0.7232
Se2 Se 0.0000 0.2869 0.0572
Se3 Se 0.0000 0.2897 0.3362
Se4 Se 0.0000 0.3502 0.6995
Se5 Se 0.0000 0.4994 0.4417
```

Computed properties:
VASP energy (eV/cell): -186.0
DOS(E_F) (states/eV per cell): 9.95
E_form (uncorrected) (eV per atom): -1.33

=====

Entry 3:
Compound: Ba3HfAu2Se6
Source: Alexandria via LeMat-Bulk
Functional: PBE
Structure: optimized geometry

The structure in CIF format:
```
data_Ba3HfAu2Se6
_symmetry_space_group_name_H-M 'P -3 m 1'
_symmetry_Int_Tables_number 164
_symmetry_space_group_name_Hall '-P 3 2"'
_cell_length_a 7.8391
_cell_length_b 7.8391
_cell_length_c 8.1624
_cell_angle_alpha 90.00
_cell_angle_beta 90.00
_cell_angle_gamma 120.00
loop_
_atom_site_label
_atom_site_type_symbol
_atom_site_fract_x
_atom_site_fract_y
_atom_site_fract_z
Ba1 Ba 0.0000 0.0000 0.0000
Ba2 Ba 0.3333 0.6667 0.6103
Hf1 Hf 0.0000 0.0000 0.5000
Au1 Au 0.3333 0.6667 0.2028
Se1 Se 0.1559 0.3119 0.3019
```

Computed properties:
VASP energy (eV/cell): -56.1
DOS(E_F) (states/eV per cell): 0.45
E_form (uncorrected) (eV per atom): -1.07

=====

Entry 4:
Compound: Ba2HfAu2Se6
Source: Alexandria via LeMat-Bulk
Functional: PBE
Structure: optimized geometry

The structure in CIF format:
```
data_Ba2HfAu2Se6
_symmetry_space_group_name_H-M 'C 1 2/m 1'
_symmetry_Int_Tables_number 12
_cell_length_a 14.2156
_cell_length_b 6.5948
_cell_length_c 8.3338
_cell_angle_alpha 90.00
_cell_angle_beta 124.09
_cell_angle_gamma 90.00
loop_
_symmetry_equiv_pos_as_xyz
'x,y,z'
'-x,-y,-z'
'-x,y,-z'
'x,-y,z'
'x+1/2,y+1/2,z'
'-x+1/2,-y+1/2,-z'
'-x+1/2,y+1/2,-z'
'x+1/2,-y+1/2,z'
loop_
_atom_site_label
_atom_site_type_symbol
_atom_site_fract_x
_atom_site_fract_y
_atom_site_fract_z
Ba1 Ba 0.2348 0.0000 0.2308
Hf1 Hf 0.0000 0.0000 0.5000
Au1 Au 0.0769 0.5000 0.2317
Se1 Se 0.0685 0.2473 0.8026
Se2 Se 0.2134 0.0000 0.6052
```

Computed properties:
VASP energy (eV/cell): -104.7
DOS(E_F) (states/eV per cell): 6.59
E_form (uncorrected) (eV per atom): -1.01

=====

Entry 5:
Compound: BaHf2TeAu
Source: Alexandria via LeMat-Bulk
Functional: PBE
Structure: optimized geometry

The structure in CIF format:
```
data_BaHf2TeAu
_symmetry_space_group_name_H-M 'P 4/m m m'
_symmetry_Int_Tables_number 123
_symmetry_space_group_name_Hall '-P 4 2'
_cell_length_a 5.3980
_cell_length_b 5.3980
_cell_length_c 5.4286
_cell_angle_alpha 90.00
_cell_angle_beta 90.00
_cell_angle_gamma 90.00
loop_
_atom_site_label
_atom_site_type_symbol
_atom_site_fract_x
_atom_site_fract_y
_atom_site_fract_z
Ba1 Ba 0.0000 0.0000 0.0000
Hf1 Hf 0.0000 0.5000 0.5000
Te1 Te 0.5000 0.5000 0.5000
Au1 Au 0.5000 0.5000 0.0000
```

Computed properties:
VASP energy (eV/cell): -25.6
DOS(E_F) (states/eV per cell): 5.51
E_form (uncorrected) (eV per atom): 0.53

=====

Entry 6:
Compound: Ba4HgAu2
Source: Alexandria via LeMat-Bulk
Functional: PBE
Structure: optimized geometry

The structure in CIF format:
```
data_Ba4HgAu2
_symmetry_space_group_name_H-M 'I -4 2 d'
_symmetry_Int_Tables_number 122
_symmetry_space_group_name_Hall 'I -4 2bw'
_cell_length_a 10.3663
_cell_length_b 10.3663
_cell_length_c 10.3417
_cell_angle_alpha 90.00
_cell_angle_beta 90.00
_cell_angle_gamma 90.00
loop_
_atom_site_label
_atom_site_type_symbol
_atom_site_fract_x
_atom_site_fract_y
_atom_site_fract_z
Ba1 Ba 0.0643 0.6831 0.4336
Hg1 Hg 0.0000 0.0000 0.5000
Au1 Au 0.1230 0.7500 0.1250
```

Computed properties:
VASP energy (eV/cell): -73.4
DOS(E_F) (states/eV per cell): 22.87

=====

Entry 7:
Compound: Ba2Hg2Au15
Source: Alexandria via LeMat-Bulk
Functional: PBE
Structure: optimized geometry

The structure in CIF format:
```
data_Ba2Hg2Au15
_symmetry_space_group_name_H-M 'R -3 m'
_symmetry_Int_Tables_number 166
_symmetry_space_group_name_Hall '-R 3 2"'
_cell_length_a 9.9921
_cell_length_b 9.9921
_cell_length_c 14.2373
_cell_angle_alpha 90.00
_cell_angle_beta 90.00
_cell_angle_gamma 120.00
loop_
_atom_site_label
_atom_site_type_symbol
_atom_site_fract_x
_atom_site_fract_y
_atom_site_fract_z
Ba1 Ba 0.0000 0.0000 0.1558
Hg1 Hg 0.0000 0.0000 0.3984
Au1 Au 0.0000 0.3090 0.5000
Au2 Au 0.0000 0.5000 0.0000
Au3 Au 0.0062 0.5031 0.6560
```

Computed properties:
VASP energy (eV/cell): -176.8
DOS(E_F) (states/eV per cell): 17.87

=====

Entry 8:
Compound: BaHgAu
Source: Alexandria via LeMat-Bulk
Functional: PBE
Structure: optimized geometry

The structure in CIF format:
```
data_BaHgAu
_symmetry_space_group_name_H-M 'F -4 3 m'
_symmetry_Int_Tables_number 216
_symmetry_space_group_name_Hall 'F -4 2 3'
_cell_length_a 7.7701
_cell_length_b 7.7701
_cell_length_c 7.7701
_cell_angle_alpha 90.00
_cell_angle_beta 90.00
_cell_angle_gamma 90.00
loop_
_atom_site_label
_atom_site_type_symbol
_atom_site_fract_x
_atom_site_fract_y
_atom_site_fract_z
Ba1 Ba 0.0000 0.0000 0.0000
Hg1 Hg 0.2500 0.2500 0.7500
Au1 Au 0.2500 0.2500 0.2500
```

Computed properties:
VASP energy (eV/cell): -26.0
DOS(E_F) (states/eV per cell): 8.92